# BaMgAu2 GGA-PBE optimized geometry
# formation energy: -1.80 eV per formula unit
# uncorrected energy: -11.88 eV per formula unit
data_BaMgAu2
_chemical_formula_sum 'Ba4 Mg4 Au8'
_cell_length_a 5.3999
_cell_length_b 5.3999
_cell_length_c 18.0726
_cell_angle_alpha 90.00
_cell_angle_beta 90.00
_cell_angle_gamma 90.00
_space_group_name_H-M_alt 'I 41/a m d'
_space_group_IT_number 141
loop_
_space_group_symop_operation_xyz
'x,y,z'
'-x,-y,-z'
'-y+1/4,x+3/4,z+1/4'
'y+1/4,-x+3/4,-z+1/4'
'-x+1/2,-y,z+1/2'
'x+1/2,y,-z+1/2'
'y+1/4,-x+1/4,z+3/4'
'-y+1/4,x+1/4,-z+3/4'
'x,-y,-z'
'-x,y,z'
'-y+1/4,-x+1/4,-z+3/4'
'y+1/4,x+1/4,z+3/4'
'-x+1/2,y,-z+1/2'
'x+1/2,-y,z+1/2'
'y+1/4,x+3/4,-z+1/4'
'-y+1/4,-x+3/4,z+1/4'
'x+1/2,y+1/2,z+1/2'
'-x+1/2,-y+1/2,-z+1/2'
'-y+3/4,x+1/4,z+3/4'
'y+3/4,-x+1/4,-z+3/4'
'-x,-y+1/2,z'
'x,y+1/2,-z'
'y+3/4,-x+3/4,z+1/4'
'-y+3/4,x+3/4,-z+1/4'
'x+1/2,-y+1/2,-z+1/2'
'-x+1/2,y+1/2,z+1/2'
'-y+3/4,-x+3/4,-z+1/4'
'y+3/4,x+3/4,z+1/4'
'-x,y+1/2,-z'
'x,-y+1/2,z'
'y+3/4,x+1/4,-z+3/4'
'-y+3/4,-x+1/4,z+3/4'
loop_
_atom_site_label
_atom_site_type_symbol
_atom_site_fract_x
_atom_site_fract_y
_atom_site_fract_z
Ba1 Ba 0.0000 0.2500 0.3750
Mg1 Mg 0.0000 0.2500 0.8750
Au1 Au 0.0000 0.0000 0.0000

***

# BaMg2Au GGA-PBE optimized geometry
# formation energy: -1.38 eV per formula unit
# uncorrected energy: -9.77 eV per formula unit
data_BaMg2Au
_chemical_formula_sum 'Ba3 Mg6 Au3'
_cell_length_a 4.7365
_cell_length_b 4.7365
_cell_length_c 18.7455
_cell_angle_alpha 90.00
_cell_angle_beta 90.00
_cell_angle_gamma 120.00
_space_group_name_H-M_alt 'R -3 m'
_space_group_IT_number 166
_space_group_name_Hall '-R 3 2"'
loop_
_atom_site_label
_atom_site_type_symbol
_atom_site_fract_x
_atom_site_fract_y
_atom_site_fract_z
Ba1 Ba 0.0000 0.0000 0.0000
Mg1 Mg 0.0000 0.0000 0.1994
Au1 Au 0.0000 0.0000 0.5000

***

# BaMgAu GGA-PBE optimized geometry
# formation energy: -1.51 eV per formula unit
# uncorrected energy: -8.31 eV per formula unit
data_BaMgAu
_chemical_formula_sum 'Ba1 Mg1 Au1'
_cell_length_a 4.8349
_cell_length_b 4.8349
_cell_length_c 4.7151
_cell_angle_alpha 90.00
_cell_angle_beta 90.00
_cell_angle_gamma 120.00
_space_group_name_H-M_alt 'P -6 m 2'
_space_group_IT_number 187
_space_group_name_Hall 'P -6 2'
loop_
_atom_site_label
_atom_site_type_symbol
_atom_site_fract_x
_atom_site_fract_y
_atom_site_fract_z
Ba1 Ba 0.0000 0.0000 0.0000
Mg1 Mg 0.6667 0.3333 0.5000
Au1 Au 0.3333 0.6667 0.5000